(1)
The following is a DFT calculation (PBE-GGA) of a geometry-optimized ZrMnBe2 structure.

Calculated values
Offset from the most stable computed form (kcal/mol of atoms): 4.50
Crystal system: orthorhombic
DOS at the Fermi energy (states/eV/f.u.): 2.14
V (Å³ per atom): 13.4

POSCAR file:
```
ZrMnBe2
1.0
4.158 0.560 -0.003
-0.568 4.157 -0.003
0.002 0.002 3.050
Zr Be Mn
1 2 1
direct
0.000 0.500 0.500 Zr
0.000 0.000 0.000 Be
0.500 0.500 0.000 Be
0.500 0.000 0.500 Mn
```

---

(2)
The following is a DFT calculation (PBE-GGA) of a geometry-optimized Tl2SeBr2 structure.

Calculated values
ΔE_f (raw) (eV/atom): -0.30
Crystal system: tetragonal
DOS at the Fermi energy (states/eV/f.u.): 4.53
V (Å³ per atom): 31.7

POSCAR file:
```
Tl2SeBr2
1.0
-3.209 -7.146 -2.525
-2.328 -1.681 7.713
-4.100 2.115 -0.776
Tl Br Se
4 4 2
direct
0.691 0.191 0.000 Tl
0.309 0.809 0.000 Tl
0.809 0.691 0.000 Tl
0.191 0.309 0.000 Tl
0.856 0.356 0.500 Br
0.644 0.856 0.500 Br
0.144 0.644 0.500 Br
0.356 0.144 0.500 Br
0.500 0.500 0.000 Se
0.000 0.000 0.000 Se
```

---

(3)
The following is a DFT calculation (PBE-GGA) of a geometry-optimized Na2Li5Tl2Ag structure.

Calculated values
Crystal system: tetragonal
Final energy (eV/atom): -2.0935
DOS at the Fermi energy (states/eV/f.u.): 3.91
V (Å³ per atom): 22.7

POSCAR file:
```
Na2Li5Tl2Ag
1.0
3.490 0.000 0.000
0.000 11.396 0.000
0.000 0.000 11.396
Li Na Ag Tl
10 4 2 4
direct
0.500 0.680 0.444 Li
0.500 0.320 0.556 Li
0.500 0.500 0.000 Li
0.500 0.056 0.820 Li
0.500 0.556 0.680 Li
0.500 0.820 0.944 Li
0.500 0.180 0.056 Li
0.500 0.000 0.500 Li
0.500 0.944 0.180 Li
0.500 0.444 0.320 Li
0.000 0.168 0.332 Na
0.000 0.832 0.668 Na
0.000 0.668 0.168 Na
0.000 0.332 0.832 Na
0.000 0.500 0.500 Ag
0.000 0.000 0.000 Ag
0.000 0.636 0.864 Tl
0.000 0.864 0.364 Tl
0.000 0.364 0.136 Tl
0.000 0.136 0.636 Tl
```